Model a:
Here is an optimized crystal structure of Zr2ScRu from the Alexandria database. Energies are from GGA-PBEsol.

a b c (Å): 3.155 4.416 5.704
angles (deg): 90.00 105.12 90.00
Atoms (fractional coordinates):
Ru (0.497, 0.000, 0.493)
Sc (0.323, 0.500, 0.732)
Zr (0.000, 0.000, 0.000)
Zr (0.680, 0.500, 0.275)

Computed properties:
SG: Pm (6)
V: 76.7 Å³ per cell
ρ: 7.1 Mg/m³



Model b:
Here is an optimized crystal structure of Zr2ScRu from the Alexandria database. Energies are from GGA-PBEsol.

a b c (Å): 3.305 4.861 5.686
angles (deg): 115.31 106.90 90.00
Atoms (fractional coordinates):
Sc (0.000, 0.500, 0.000)
Ru (0.500, 0.000, 0.000)
Zr (0.786, 0.786, 0.573)
Zr (0.214, 0.214, 0.427)

Computed properties:
SG: Immm (71)
V: 78.2 Å³ per cell
ρ: 7.0 Mg/m³



Looking at the structures above, which would you pick as the most stable? I would pick model b.